(1)
Entry from Alexandria: a crystal of Sr2MnFe relaxed with PBEsol (SCAN).

Unit cell a=3.6052 b=3.6052 c=28.7208 alpha=90.00 beta=90.00 gamma=120.00
Space group R-3m (No. 166, hexagonal axes)
Asymmetric unit:
Sr (0.0000, 0.0000, 0.2453) [6 per cell]
Mn (0.0000, 0.0000, 0.0000) [3 per cell]
Fe (0.0000, 0.0000, 0.5000) [3 per cell]

## Properties
Its energy above the most stable polymorph in this dataset is 4.054 kcal/mol of atoms. For the density of states at the Fermi level, the calculation gives 1.252 states/eV/atom. For the total magnetization, the calculation gives 6.8 μB per formula unit.

(2)
Entry from Alexandria: a crystal of Zr2InRu relaxed with PBEsol (SCAN).

Unit cell a=4.051 b=4.051 c=9.208 alpha=90.00 beta=90.00 gamma=90.00
Space group I-4m2 (No. 119)
Asymmetric unit:
Zr (0.000, 0.000, 0.000) [2 per cell]
Zr (0.000, 0.500, 0.250) [2 per cell]
In (0.000, 0.000, 0.500) [2 per cell]
Ru (0.000, 0.500, 0.750) [2 per cell]

## Properties
For the density of states at the Fermi level, the calculation gives 0.711 states/eV/atom. For the total magnetization, the calculation gives 0.0 μB per formula unit.

(3)
Entry from Alexandria: a crystal of BaYIr2 relaxed with PBEsol (SCAN).

Unit cell a=4.233 b=4.233 c=9.589 alpha=90.00 beta=90.00 gamma=90.00
Space group I-4m2 (No. 119)
Asymmetric unit:
Ba (0.000, 0.000, 0.000) [2 per cell]
Y (0.000, 0.500, 0.750) [2 per cell]
Ir (0.000, 0.000, 0.500) [2 per cell]
Ir (0.000, 0.500, 0.250) [2 per cell]

## Properties
Its energy above the most stable polymorph in this dataset is 12.292 kcal/mol of atoms. For the density of states at the Fermi level, the calculation gives 1.185 states/eV/atom. For the total magnetization, the calculation gives 0.0 μB per formula unit.

(4)
Entry from Alexandria: a crystal of NaCoF3 relaxed with PBEsol (SCAN).

Unit cell a=2.958 b=10.180 c=7.363 alpha=90.00 beta=90.00 gamma=90.00
Space group Cmcm (No. 63)
Asymmetric unit:
Na (0.000, 0.246, 0.250) [4 per cell]
Co (0.000, 0.500, 0.000) [4 per cell]
F (0.000, 0.132, 0.559) [8 per cell]
F (0.000, 0.426, 0.750) [4 per cell]

## Properties
Its energy relative to the elements, uncorrected is -2509 meV/atom. For the density of states at the Fermi level, the calculation gives 0.000 states/eV/atom. For the total magnetization, the calculation gives 3.0 μB per formula unit.

no.,final energy (eV/f.u.),V (A^3/atom)
1,-77.512,26.940
2,-130.928,18.891
3,-208.651,21.475
4,-44.685,11.084